VASP calculation (PBE) on a geometry-optimized HfSiAg3 structure.

Structure (POSCAR):
```
HfSiAg3
1.0
-5.1662 -0.5271 0.2921
0.2969 -0.0324 5.1926
-0.5244 5.1743 0.0622
Ag Si Hf
3 1 1
Cartesian
0.1485 -0.0162 2.5963
-2.5831 -0.2635 0.1461
-0.2622 2.5872 0.0311
-2.6968 2.3075 2.7735
0.0000 0.0000 0.0000
```

Values from the calculation:
Formation energy without anion corrections, eV/atom: 1.51
Uncorrected energy, eV/atom: -3.2715
Polymorph energy (0 for the lowest one), meV per atom: 893
Space-group type: Pm-3m, No. 221